<i>
DFT (PBE) results for a relaxed Mg6CdMo crystal.

Results
**Space-group type**: Amm2 (38)

Geometry as POSCAR:
```
Mg6CdMo
1.0
4.617 0.000 0.000
0.000 7.356 0.000
0.000 0.000 9.539
Mg Cd Mo
12 2 2
direct
0.000 0.000 0.000
0.000 0.235 0.735
0.000 0.265 0.235
0.000 0.500 0.500
0.000 0.735 0.235
0.000 0.765 0.735
0.500 0.000 0.247
0.500 0.243 0.971
0.500 0.257 0.471
0.500 0.500 0.747
0.500 0.743 0.471
0.500 0.757 0.971
0.500 0.000 0.694
0.500 0.500 0.194
0.000 0.000 0.471
0.000 0.500 0.971
```

<ii>
DFT (PBE) results for a relaxed Mg6CdMo crystal.

Results
**Space-group type**: Amm2 (38)

Geometry as POSCAR:
```
Mg6CdMo
1.0
4.890 0.000 0.000
0.000 6.193 0.000
0.000 0.000 10.767
Mg Cd Mo
12 2 2
direct
0.000 0.000 0.000
0.000 0.000 0.492
0.000 0.236 0.237
0.000 0.264 0.737
0.000 0.500 0.500
0.000 0.500 0.992
0.000 0.736 0.737
0.000 0.764 0.237
0.500 0.248 0.906
0.500 0.252 0.406
0.500 0.748 0.406
0.500 0.752 0.906
0.500 0.000 0.658
0.500 0.500 0.158
0.500 0.000 0.155
0.500 0.500 0.655
```

Which of them is the most stable? Correct choice: <i>.

<i>
DFT (PBE) results for a relaxed Mg14CdMo crystal.

Results
**Space-group type**: Amm2 (38)

Geometry as POSCAR:
```
Mg14CdMo
1.0
10.115 0.000 0.000
0.000 3.142 5.432
0.000 -3.142 5.432
Mg Cd Mo
14 1 1
direct
0.000 0.000 0.000
0.000 0.000 0.496
0.000 0.496 0.000
0.000 0.499 0.499
0.249 0.832 0.832
0.259 0.337 0.337
0.263 0.336 0.821
0.263 0.821 0.336
0.500 0.001 0.500
0.500 0.500 0.001
0.737 0.336 0.821
0.737 0.821 0.336
0.741 0.337 0.337
0.751 0.832 0.832
0.500 0.997 0.997
0.500 0.497 0.497
```

<ii>
DFT (PBE) results for a relaxed Mg14CdMo crystal.

Results
**Space-group type**: P-6m2 (187)

Geometry as POSCAR:
```
Mg14CdMo
1.0
6.268 0.000 0.000
-3.134 5.428 0.000
0.000 0.000 10.113
Mg Cd Mo
14 1 1
direct
0.000 0.000 0.250
0.000 0.000 0.750
0.012 0.506 0.241
0.012 0.506 0.759
0.333 0.167 0.000
0.335 0.167 0.500
0.494 0.506 0.241
0.494 0.506 0.759
0.494 0.988 0.241
0.494 0.988 0.759
0.833 0.167 0.000
0.833 0.167 0.500
0.833 0.665 0.500
0.833 0.667 0.000
0.333 0.667 0.500
0.333 0.667 0.000
```

Which of them is the most stable? Correct choice: <ii>.

<i>
DFT (PBE) results for a relaxed Mg2CdN crystal.

Results
**Space-group type**: I-42d (122)

Geometry as POSCAR:
```
Mg2CdN
1.0
6.262 0.000 0.000
0.000 6.262 0.000
0.000 0.000 8.672
Mg Cd N
8 4 4
direct
0.089 0.250 0.125
0.250 0.589 0.375
0.250 0.911 0.875
0.411 0.250 0.625
0.589 0.750 0.625
0.750 0.089 0.875
0.750 0.411 0.375
0.911 0.750 0.125
0.000 0.000 0.500
0.000 0.500 0.750
0.500 0.000 0.250
0.500 0.500 0.000
0.000 0.000 0.000
0.000 0.500 0.250
0.500 0.000 0.750
0.500 0.500 0.500
```

<ii>
DFT (PBE) results for a relaxed Mg2CdN crystal.

Results
**Space-group type**: Fm-3m (225)

Geometry as POSCAR:
```
Mg2CdN
1.0
6.452 0.000 0.000
0.000 6.452 0.000
0.000 0.000 6.452
Mg Cd N
8 4 4
direct
0.250 0.250 0.250
0.250 0.250 0.750
0.250 0.750 0.250
0.250 0.750 0.750
0.750 0.250 0.250
0.750 0.250 0.750
0.750 0.750 0.250
0.750 0.750 0.750
0.000 0.000 0.000
0.000 0.500 0.500
0.500 0.000 0.500
0.500 0.500 0.000
0.000 0.000 0.500
0.000 0.500 0.000
0.500 0.000 0.000
0.500 0.500 0.500
```

<iii>
DFT (PBE) results for a relaxed Mg2CdN crystal.

Results
**Space-group type**: R-3m (166)

Geometry as POSCAR:
```
Mg2CdN
1.0
3.226 0.000 0.000
-1.613 2.794 0.000
0.000 0.000 22.556
Mg Cd N
6 3 3
direct
0.000 0.000 0.213
0.000 0.000 0.787
0.333 0.667 0.454
0.333 0.667 0.880
0.667 0.333 0.120
0.667 0.333 0.546
0.000 0.000 0.000
0.333 0.667 0.667
0.667 0.333 0.333
0.000 0.000 0.500
0.333 0.667 0.167
0.667 0.333 0.833
```

Which of them is the most stable? Correct choice: <iii>.

<i>
DFT (PBE) results for a relaxed MgCd2N crystal.

Results
**Space-group type**: Fm-3m (225)

Geometry as POSCAR:
```
MgCd2N
1.0
6.604 0.000 0.000
0.000 6.604 0.000
0.000 0.000 6.604
Mg Cd N
4 8 4
direct
0.000 0.000 0.000
0.000 0.500 0.500
0.500 0.000 0.500
0.500 0.500 0.000
0.250 0.250 0.250
0.250 0.250 0.750
0.250 0.750 0.250
0.250 0.750 0.750
0.750 0.250 0.250
0.750 0.250 0.750
0.750 0.750 0.250
0.750 0.750 0.750
0.000 0.000 0.500
0.000 0.500 0.000
0.500 0.000 0.000
0.500 0.500 0.500
```

<ii>
DFT (PBE) results for a relaxed MgCd2N crystal.

Results
**Space-group type**: I-42d (122)

Geometry as POSCAR:
```
MgCd2N
1.0
6.491 0.000 0.000
0.000 6.491 0.000
0.000 0.000 8.866
Mg Cd N
4 8 4
direct
0.000 0.000 0.000
0.000 0.500 0.250
0.500 0.000 0.750
0.500 0.500 0.500
0.143 0.250 0.625
0.250 0.643 0.875
0.250 0.857 0.375
0.357 0.250 0.125
0.643 0.750 0.125
0.750 0.143 0.375
0.750 0.357 0.875
0.857 0.750 0.625
0.000 0.000 0.500
0.000 0.500 0.750
0.500 0.000 0.250
0.500 0.500 0.000
```

Which of them is the most stable? Correct choice: <ii>.

<i>
DFT (PBE) results for a relaxed MgCdS2N crystal.

Results
**Space-group type**: P4/mmm (123)

Geometry as POSCAR:
```
MgCdS2N
1.0
4.934 0.000 0.000
0.000 4.934 0.000
0.000 0.000 4.043
Mg Cd S N
1 1 2 1
direct
0.000 0.000 0.000
0.500 0.500 0.500
0.000 0.500 0.000
0.500 0.000 0.000
0.000 0.000 0.500
```

<ii>
DFT (PBE) results for a relaxed MgCdS2N crystal.

Results
**Space-group type**: P4/mmm (123)

Geometry as POSCAR:
```
MgCdS2N
1.0
5.091 0.000 0.000
0.000 5.091 0.000
0.000 0.000 4.140
Mg Cd S N
1 1 2 1
direct
0.000 0.000 0.000
0.500 0.500 0.500
0.000 0.500 0.500
0.500 0.000 0.500
0.500 0.500 0.000
```

Which of them is the most stable? Correct choice: <i>.

<i>
DFT (PBE) results for a relaxed MgCdTe2N crystal.

Results
**Space-group type**: P4/mmm (123)

Geometry as POSCAR:
```
MgCdTe2N
1.0
5.805 0.000 0.000
0.000 5.805 0.000
0.000 0.000 4.119
Mg Cd Te N
1 1 2 1
direct
0.000 0.000 0.000
0.500 0.500 0.500
0.000 0.500 0.500
0.500 0.000 0.500
0.500 0.500 0.000
```

<ii>
DFT (PBE) results for a relaxed MgCdTe2N crystal.

Results
**Space-group type**: P4/mmm (123)

Geometry as POSCAR:
```
MgCdTe2N
1.0
5.766 0.000 0.000
0.000 5.766 0.000
0.000 0.000 3.912
Mg Cd Te N
1 1 2 1
direct
0.000 0.000 0.000
0.500 0.500 0.500
0.000 0.500 0.000
0.500 0.000 0.000
0.000 0.000 0.500
```

Which of them is the most stable? Correct choice: <ii>.

<i>
DFT (PBE) results for a relaxed NaMg3Cd crystal.

Results
**Space-group type**: Pm-3m (221)

Geometry as POSCAR:
```
NaMg3Cd
1.0
5.341 0.000 0.000
0.000 5.341 0.000
0.000 0.000 5.341
Na Mg Cd
1 3 1
direct
0.000 0.000 0.000
0.000 0.500 0.500
0.500 0.000 0.500
0.500 0.500 0.000
0.500 0.500 0.500
```

<ii>
DFT (PBE) results for a relaxed NaMg3Cd crystal.

Results
**Space-group type**: Cmcm (63)

Geometry as POSCAR:
```
NaMg3Cd
1.0
3.146 -7.291 0.000
3.146 7.291 0.000
0.000 0.000 5.648
Na Mg Cd
2 6 2
direct
0.079 0.921 0.750
0.921 0.079 0.250
0.089 0.424 0.750
0.424 0.089 0.250
0.500 0.500 0.000
0.500 0.500 0.500
0.576 0.911 0.750
0.911 0.576 0.250
0.329 0.671 0.250
0.671 0.329 0.750
```

Which of them is the most stable? Correct choice: <ii>.

<i>
DFT (PBE) results for a relaxed Na3Mg2Cd7 crystal.

Results
**Space-group type**: P2/m (10)

Geometry as POSCAR:
```
Na3Mg2Cd7
1.0
4.748 0.000 0.000
0.000 4.024 0.000
-2.106 0.000 16.167
Na Mg Cd
3 2 7
direct
0.000 0.000 0.000
0.315 0.500 0.633
0.685 0.500 0.367
0.138 0.000 0.274
0.862 0.000 0.726
0.071 0.500 0.143
0.228 0.000 0.450
0.419 0.000 0.843
0.500 0.500 0.000
0.581 0.000 0.157
0.772 0.000 0.550
0.929 0.500 0.857
```

<ii>
DFT (PBE) results for a relaxed Na3Mg2Cd7 crystal.

Results
**Space-group type**: R-3m (166)

Geometry as POSCAR:
```
Na3Mg2Cd7
1.0
2.982 1.721 9.829
-2.982 1.721 9.829
0.000 -3.443 9.829
Na Mg Cd
3 2 7
direct
0.000 0.000 0.000
0.144 0.144 0.144
0.856 0.856 0.856
0.334 0.334 0.334
0.666 0.666 0.666
0.080 0.587 0.587
0.413 0.413 0.920
0.413 0.920 0.413
0.500 0.500 0.500
0.587 0.080 0.587
0.587 0.587 0.080
0.920 0.413 0.413
```

Which of them is the most stable? Correct choice: <ii>.